1.
Sm3Ho3Tl | PBE-GGA | relaxed

Geometry as CIF:
```
data_Sm3Ho3Tl
_chemical_formula_sum 'Sm6 Ho6 Tl2'
_space_group_name_H-M_alt 'P 63/m'
_space_group_IT_number 176
_space_group_name_Hall '-P 6c'
_cell_length_a 9.4719
_cell_length_b 9.4719
_cell_length_c 5.5798
_cell_angle_alpha 90.00
_cell_angle_beta 90.00
_cell_angle_gamma 120.00
loop_
_atom_site_label
_atom_site_fract_x
_atom_site_fract_y
_atom_site_fract_z
Sm1 0.1064 0.6306 0.2500
Ho1 0.0600 0.8232 0.7500
Tl1 0.3333 0.6667 0.7500
```

Output
D(E_F) in states/eV/f.u.: 9.7
Calculated volume in Å³/atom: 30.97
DFT formation energy in meV/atom: -70

2.
Sm6HoTl5 | PBE-GGA | relaxed

Geometry as CIF:
```
data_Sm6HoTl5
_chemical_formula_sum 'Sm12 Ho2 Tl10'
_space_group_name_H-M_alt 'I m m m'
_space_group_IT_number 71
_space_group_name_Hall '-I 2 2'
_cell_length_a 5.0612
_cell_length_b 9.0206
_cell_length_c 15.3817
_cell_angle_alpha 90.00
_cell_angle_beta 90.00
_cell_angle_gamma 90.00
loop_
_atom_site_label
_atom_site_fract_x
_atom_site_fract_y
_atom_site_fract_z
Sm1 0.0000 0.2313 0.0000
Sm2 0.0000 0.2618 0.3291
Ho1 0.0000 0.0000 0.5000
Tl1 0.0000 0.0000 0.1752
Tl2 0.0000 0.5000 0.1488
Tl3 0.0000 0.5000 0.5000
```

Output
D(E_F) in states/eV/f.u.: 12.9
Polymorph energy (0 for the lowest one) in meV per atom: 0
Calculated volume in Å³/atom: 29.26
DFT formation energy in meV/atom: -294